First-principles (PBE) data for a geometry-optimized Li2SnHgH structure, as listed in Alexandria via LeMat-Bulk.

CIF file:
```
data_Li2SnHgH
_chemical_formula_sum 'Li2 Sn1 Hg1 H1'
_space_group_name_H-M_alt 'P 4/m m m'
_space_group_IT_number 123
_space_group_name_Hall '-P 4 2'
_cell_length_a 4.313
_cell_length_b 4.313
_cell_length_c 4.455
_cell_angle_alpha 90.00
_cell_angle_beta 90.00
_cell_angle_gamma 90.00
loop_
_atom_site_label
_atom_site_type_symbol
_atom_site_fract_x
_atom_site_fract_y
_atom_site_fract_z
Li1 Li 0.000 0.500 0.000
Sn1 Sn 0.000 0.000 0.500
Hg1 Hg 0.500 0.500 0.500
H1 H 0.000 0.000 0.000
```

Calculated values
As for the raw total energy: -0.0898 hartree per atom. The calculation puts the theoretical density at 6.7 g/cm³.

First-principles (PBE) data for a geometry-optimized Li2SnHgH structure, as listed in Alexandria via LeMat-Bulk.

CIF file:
```
data_Li2SnHgH
_chemical_formula_sum 'Li2 Sn1 Hg1 H1'
_space_group_name_H-M_alt 'P 4/m m m'
_space_group_IT_number 123
_space_group_name_Hall '-P 4 2'
_cell_length_a 4.544
_cell_length_b 4.544
_cell_length_c 3.927
_cell_angle_alpha 90.00
_cell_angle_beta 90.00
_cell_angle_gamma 90.00
loop_
_atom_site_label
_atom_site_type_symbol
_atom_site_fract_x
_atom_site_fract_y
_atom_site_fract_z
Li1 Li 0.000 0.500 0.000
Sn1 Sn 0.000 0.000 0.500
Hg1 Hg 0.500 0.500 0.500
H1 H 0.500 0.500 0.000
```

Calculated values
As for the raw total energy: -0.0902 hartree per atom. The calculation puts the theoretical density at 6.8 g/cm³.

First-principles (PBE) data for a geometry-optimized LiSn2HgH structure, as listed in Alexandria via LeMat-Bulk.

CIF file:
```
data_LiSn2HgH
_chemical_formula_sum 'Li1 Sn2 Hg1 H1'
_space_group_name_H-M_alt 'P 4/m m m'
_space_group_IT_number 123
_space_group_name_Hall '-P 4 2'
_cell_length_a 4.767
_cell_length_b 4.767
_cell_length_c 4.301
_cell_angle_alpha 90.00
_cell_angle_beta 90.00
_cell_angle_gamma 90.00
loop_
_atom_site_label
_atom_site_type_symbol
_atom_site_fract_x
_atom_site_fract_y
_atom_site_fract_z
Li1 Li 0.000 0.000 0.000
Sn1 Sn 0.000 0.500 0.500
Hg1 Hg 0.500 0.500 0.000
H1 H 0.000 0.000 0.500
```

Calculated values
As for the raw total energy: -0.0981 hartree per atom. The calculation puts the theoretical density at 7.6 g/cm³.

First-principles (PBE) data for a geometry-optimized LiSnHg2H structure, as listed in Alexandria via LeMat-Bulk.

CIF file:
```
data_LiSnHg2H
_chemical_formula_sum 'Li1 Sn1 Hg2 H1'
_space_group_name_H-M_alt 'P 4/m m m'
_space_group_IT_number 123
_space_group_name_Hall '-P 4 2'
_cell_length_a 5.200
_cell_length_b 5.200
_cell_length_c 3.623
_cell_angle_alpha 90.00
_cell_angle_beta 90.00
_cell_angle_gamma 90.00
loop_
_atom_site_label
_atom_site_type_symbol
_atom_site_fract_x
_atom_site_fract_y
_atom_site_fract_z
Li1 Li 0.000 0.000 0.000
Sn1 Sn 0.500 0.500 0.000
Hg1 Hg 0.000 0.500 0.500
H1 H 0.000 0.000 0.500
```

Calculated values
As for the raw total energy: -0.0715 hartree per atom. The calculation puts the theoretical density at 8.9 g/cm³.

First-principles (PBE) data for a geometry-optimized Sr2LiHgH structure, as listed in Alexandria via LeMat-Bulk.

CIF file:
```
data_Sr2LiHgH
_chemical_formula_sum 'Sr2 Li1 Hg1 H1'
_space_group_name_H-M_alt 'P 4/m m m'
_space_group_IT_number 123
_space_group_name_Hall '-P 4 2'
_cell_length_a 5.450
_cell_length_b 5.450
_cell_length_c 4.203
_cell_angle_alpha 90.00
_cell_angle_beta 90.00
_cell_angle_gamma 90.00
loop_
_atom_site_label
_atom_site_type_symbol
_atom_site_fract_x
_atom_site_fract_y
_atom_site_fract_z
Sr1 Sr 0.000 0.500 0.000
Li1 Li 0.000 0.000 0.500
Hg1 Hg 0.500 0.500 0.500
H1 H 0.000 0.000 0.000
```

Calculated values
As for the raw total energy: -0.0794 hartree per atom. The calculation puts the theoretical density at 5.1 g/cm³.

First-principles (PBE) data for a geometry-optimized Sr2LiHgH structure, as listed in Alexandria via LeMat-Bulk.

CIF file:
```
data_Sr2LiHgH
_chemical_formula_sum 'Sr2 Li1 Hg1 H1'
_space_group_name_H-M_alt 'P 4/m m m'
_space_group_IT_number 123
_space_group_name_Hall '-P 4 2'
_cell_length_a 5.247
_cell_length_b 5.247
_cell_length_c 4.861
_cell_angle_alpha 90.00
_cell_angle_beta 90.00
_cell_angle_gamma 90.00
loop_
_atom_site_label
_atom_site_type_symbol
_atom_site_fract_x
_atom_site_fract_y
_atom_site_fract_z
Sr1 Sr 0.000 0.500 0.000
Li1 Li 0.000 0.000 0.500
Hg1 Hg 0.500 0.500 0.500
H1 H 0.500 0.500 0.000
```

Calculated values
As for the raw total energy: -0.0730 hartree per atom. The calculation puts the theoretical density at 4.8 g/cm³.

First-principles (PBE) data for a geometry-optimized SrLi2HgH structure, as listed in Alexandria via LeMat-Bulk.

CIF file:
```
data_SrLi2HgH
_chemical_formula_sum 'Sr1 Li2 Hg1 H1'
_space_group_name_H-M_alt 'P 4/m m m'
_space_group_IT_number 123
_space_group_name_Hall '-P 4 2'
_cell_length_a 4.584
_cell_length_b 4.584
_cell_length_c 4.985
_cell_angle_alpha 90.00
_cell_angle_beta 90.00
_cell_angle_gamma 90.00
loop_
_atom_site_label
_atom_site_type_symbol
_atom_site_fract_x
_atom_site_fract_y
_atom_site_fract_z
Sr1 Sr 0.000 0.000 0.000
Li1 Li 0.000 0.500 0.500
Hg1 Hg 0.500 0.500 0.000
H1 H 0.000 0.000 0.500
```

Calculated values
As for the raw total energy: -0.0770 hartree per atom. The calculation puts the theoretical density at 4.8 g/cm³.

First-principles (PBE) data for a geometry-optimized Li2HgTeH structure, as listed in Alexandria via LeMat-Bulk.

CIF file:
```
data_Li2HgTeH
_chemical_formula_sum 'Li2 Hg1 Te1 H1'
_space_group_name_H-M_alt 'P 4/m m m'
_space_group_IT_number 123
_space_group_name_Hall '-P 4 2'
_cell_length_a 4.720
_cell_length_b 4.720
_cell_length_c 4.032
_cell_angle_alpha 90.00
_cell_angle_beta 90.00
_cell_angle_gamma 90.00
loop_
_atom_site_label
_atom_site_type_symbol
_atom_site_fract_x
_atom_site_fract_y
_atom_site_fract_z
Li1 Li 0.000 0.500 0.000
Hg1 Hg 0.000 0.000 0.500
Te1 Te 0.500 0.500 0.500
H1 H 0.000 0.000 0.000
```

Calculated values
As for the raw total energy: -0.0918 hartree per atom. The calculation puts the theoretical density at 6.3 g/cm³.

First-principles (PBE) data for a geometry-optimized LiTi2HgH structure, as listed in Alexandria via LeMat-Bulk.

CIF file:
```
data_LiTi2HgH
_chemical_formula_sum 'Li1 Ti2 Hg1 H1'
_space_group_name_H-M_alt 'P 4/m m m'
_space_group_IT_number 123
_space_group_name_Hall '-P 4 2'
_cell_length_a 4.001
_cell_length_b 4.001
_cell_length_c 4.307
_cell_angle_alpha 90.00
_cell_angle_beta 90.00
_cell_angle_gamma 90.00
loop_
_atom_site_label
_atom_site_type_symbol
_atom_site_fract_x
_atom_site_fract_y
_atom_site_fract_z
Li1 Li 0.000 0.000 0.000
Ti1 Ti 0.000 0.500 0.500
Hg1 Hg 0.500 0.500 0.000
H1 H 0.000 0.000 0.500
```

Calculated values
As for the raw total energy: -0.1630 hartree per atom. The calculation puts the theoretical density at 7.3 g/cm³.

First-principles (PBE) data for a geometry-optimized Li2TlHgH structure, as listed in Alexandria via LeMat-Bulk.

CIF file:
```
data_Li2TlHgH
_chemical_formula_sum 'Li2 Tl1 Hg1 H1'
_space_group_name_H-M_alt 'P 4/m m m'
_space_group_IT_number 123
_space_group_name_Hall '-P 4 2'
_cell_length_a 4.343
_cell_length_b 4.343
_cell_length_c 4.751
_cell_angle_alpha 90.00
_cell_angle_beta 90.00
_cell_angle_gamma 90.00
loop_
_atom_site_label
_atom_site_type_symbol
_atom_site_fract_x
_atom_site_fract_y
_atom_site_fract_z
Li1 Li 0.000 0.500 0.000
Tl1 Tl 0.000 0.000 0.500
Hg1 Hg 0.500 0.500 0.500
H1 H 0.000 0.000 0.000
```

Calculated values
As for the raw total energy: -0.0763 hartree per atom. The calculation puts the theoretical density at 7.8 g/cm³.

First-principles (PBE) data for a geometry-optimized Li2TlHgH structure, as listed in Alexandria via LeMat-Bulk.

CIF file:
```
data_Li2TlHgH
_chemical_formula_sum 'Li2 Tl1 Hg1 H1'
_space_group_name_H-M_alt 'P 4/m m m'
_space_group_IT_number 123
_space_group_name_Hall '-P 4 2'
_cell_length_a 4.485
_cell_length_b 4.485
_cell_length_c 4.106
_cell_angle_alpha 90.00
_cell_angle_beta 90.00
_cell_angle_gamma 90.00
loop_
_atom_site_label
_atom_site_type_symbol
_atom_site_fract_x
_atom_site_fract_y
_atom_site_fract_z
Li1 Li 0.000 0.500 0.000
Tl1 Tl 0.000 0.000 0.500
Hg1 Hg 0.500 0.500 0.500
H1 H 0.500 0.500 0.000
```

Calculated values
As for the raw total energy: -0.0764 hartree per atom. The calculation puts the theoretical density at 8.4 g/cm³.

First-principles (PBE) data for a geometry-optimized LiTlHg2H structure, as listed in Alexandria via LeMat-Bulk.

CIF file:
```
data_LiTlHg2H
_chemical_formula_sum 'Li1 Tl1 Hg2 H1'
_space_group_name_H-M_alt 'P 4/m m m'
_space_group_IT_number 123
_space_group_name_Hall '-P 4 2'
_cell_length_a 5.601
_cell_length_b 5.601
_cell_length_c 3.429
_cell_angle_alpha 90.00
_cell_angle_beta 90.00
_cell_angle_gamma 90.00
loop_
_atom_site_label
_atom_site_type_symbol
_atom_site_fract_x
_atom_site_fract_y
_atom_site_fract_z
Li1 Li 0.000 0.000 0.000
Tl1 Tl 0.500 0.500 0.000
Hg1 Hg 0.000 0.500 0.500
H1 H 0.000 0.000 0.500
```

Calculated values
As for the raw total energy: -0.0608 hartree per atom. The calculation puts the theoretical density at 9.5 g/cm³.

Q: theoretical density of number 1 (Li2SnHgH)?
A: 6.7 g/cm³

Q: Which value of raw total energy does entry 11 give?
A: -0.0764 hartree per atom

Q: Look up the theoretical density of the first one.
A: 6.7 g/cm³